[1]
The following is a PBE calculation of crystalline Pm2PuO7 at its relaxed geometry, from Alexandria via LeMat-Bulk.

```
data_Pm2PuO7
_cell_length_a 12.4399
_cell_length_b 6.6053
_cell_length_c 8.6469
_cell_angle_alpha 90.00
_cell_angle_beta 127.10
_cell_angle_gamma 90.00
_symmetry_space_group_name_H-M 'C 1 2/c 1'
_symmetry_Int_Tables_number 15
loop_
_symmetry_equiv_pos_as_xyz
'x,y,z'
'-x,-y,-z'
'-x,y,-z+1/2'
'x,-y,z+1/2'
'x+1/2,y+1/2,z'
'-x+1/2,-y+1/2,-z'
'-x+1/2,y+1/2,-z+1/2'
'x+1/2,-y+1/2,z+1/2'
loop_
_atom_site_label
_atom_site_type_symbol
_atom_site_fract_x
_atom_site_fract_y
_atom_site_fract_z
_atom_site_occupancy
Pm1 Pm 0.2027 0.0748 0.3027 1
Pu1 Pu 0.0000 0.3349 0.7500 1
O1 O 0.0000 0.0094 0.7500 1
O2 O 0.1163 0.2614 0.6696 1
O3 O 0.1388 0.2957 0.0266 1
O4 O 0.1509 0.4008 0.3583 1
```

Properties
Raw total energy in eV per atom: -8.446


[2]
The following is a PBE calculation of crystalline PmPu2O7 at its relaxed geometry, from Alexandria via LeMat-Bulk.

```
data_PmPu2O7
_cell_length_a 3.8416
_cell_length_b 3.8416
_cell_length_c 30.9516
_cell_angle_alpha 90.00
_cell_angle_beta 90.00
_cell_angle_gamma 120.00
_symmetry_space_group_name_H-M 'R -3 m'
_symmetry_Int_Tables_number 166
_symmetry_space_group_name_Hall '-R 3 2"'
loop_
_atom_site_label
_atom_site_type_symbol
_atom_site_fract_x
_atom_site_fract_y
_atom_site_fract_z
_atom_site_occupancy
Pm1 Pm 0.0000 0.0000 0.0000 1
Pu1 Pu 0.0000 0.0000 0.4335 1
O1 O 0.0000 0.0000 0.0795 1
O2 O 0.0000 0.0000 0.2196 1
O3 O 0.0000 0.0000 0.3639 1
O4 O 0.0000 0.0000 0.5000 1
```

Properties
DOS at the Fermi energy in states/eV/f.u.: 9.2
Raw total energy in eV per atom: -9.613


[3]
The following is a PBE calculation of crystalline PmPuO2 at its relaxed geometry, from Alexandria via LeMat-Bulk.

```
data_PmPuO2
_cell_length_a 3.0538
_cell_length_b 3.0538
_cell_length_c 6.2310
_cell_angle_alpha 90.00
_cell_angle_beta 90.00
_cell_angle_gamma 90.00
_symmetry_space_group_name_H-M 'P 4/m m m'
_symmetry_Int_Tables_number 123
_symmetry_space_group_name_Hall '-P 4 2'
loop_
_atom_site_label
_atom_site_type_symbol
_atom_site_fract_x
_atom_site_fract_y
_atom_site_fract_z
_atom_site_occupancy
Pm1 Pm 0.0000 0.0000 0.0000 1
Pu1 Pu 0.0000 0.0000 0.5000 1
O1 O 0.5000 0.5000 0.2391 1
```

Properties
DOS at the Fermi energy in states/eV/f.u.: 5.8
Energy above the most stable polymorph in this dataset in meV/atom: 490


[4]
The following is a PBE calculation of crystalline PmPuO at its relaxed geometry, from Alexandria via LeMat-Bulk.

```
data_PmPuO
_cell_length_a 3.6313
_cell_length_b 3.6313
_cell_length_c 35.5012
_cell_angle_alpha 90.00
_cell_angle_beta 90.00
_cell_angle_gamma 120.00
_symmetry_space_group_name_H-M 'R -3 m'
_symmetry_Int_Tables_number 166
_symmetry_space_group_name_Hall '-R 3 2"'
loop_
_atom_site_label
_atom_site_type_symbol
_atom_site_fract_x
_atom_site_fract_y
_atom_site_fract_z
_atom_site_occupancy
Pm1 Pm 0.0000 0.0000 0.2112 1
Pu1 Pu 0.0000 0.0000 0.0465 1
O1 O 0.0000 0.0000 0.4124 1
```

Properties
DOS at the Fermi energy in states/eV/f.u.: 6.2
Energy above the most stable polymorph in this dataset in meV/atom: 10


[5]
The following is a PBE calculation of crystalline Pm6PuO12 at its relaxed geometry, from Alexandria via LeMat-Bulk.

```
data_Pm6PuO12
_cell_length_a 10.2433
_cell_length_b 10.2433
_cell_length_c 9.7584
_cell_angle_alpha 90.00
_cell_angle_beta 90.00
_cell_angle_gamma 120.00
_symmetry_space_group_name_H-M 'R -3'
_symmetry_Int_Tables_number 148
_symmetry_space_group_name_Hall '-R 3'
loop_
_atom_site_label
_atom_site_type_symbol
_atom_site_fract_x
_atom_site_fract_y
_atom_site_fract_z
_atom_site_occupancy
Pm1 Pm 0.0419 0.7880 0.1427 1
Pu1 Pu 0.0000 0.0000 0.5000 1
O1 O 0.0342 0.8104 0.9013 1
O2 O 0.0395 0.8476 0.3903 1
```

Properties
DOS at the Fermi energy in states/eV/f.u.: 8.0
Raw total energy in eV per atom: -8.697


[6]
The following is a PBE calculation of crystalline Rb3PmPu2O9 at its relaxed geometry, from Alexandria via LeMat-Bulk.

```
data_Rb3PmPu2O9
_cell_length_a 6.1689
_cell_length_b 6.1689
_cell_length_c 7.5694
_cell_angle_alpha 90.00
_cell_angle_beta 90.00
_cell_angle_gamma 120.00
_symmetry_space_group_name_H-M 'P -3 m 1'
_symmetry_Int_Tables_number 164
_symmetry_space_group_name_Hall '-P 3 2"'
loop_
_atom_site_label
_atom_site_type_symbol
_atom_site_fract_x
_atom_site_fract_y
_atom_site_fract_z
_atom_site_occupancy
Rb1 Rb 0.0000 0.0000 0.0000 1
Rb2 Rb 0.3333 0.6667 0.6631 1
Pm1 Pm 0.0000 0.0000 0.5000 1
Pu1 Pu 0.3333 0.6667 0.1608 1
O1 O 0.0000 0.5000 0.0000 1
O2 O 0.1782 0.3565 0.3164 1
```

Properties
DOS at the Fermi energy in states/eV/f.u.: 8.7
Raw total energy in eV per atom: -7.902


[7]
The following is a PBE calculation of crystalline Rb2PmPuO4 at its relaxed geometry, from Alexandria via LeMat-Bulk.

```
data_Rb2PmPuO4
_cell_length_a 6.2770
_cell_length_b 3.6227
_cell_length_c 6.9090
_cell_angle_alpha 90.00
_cell_angle_beta 107.66
_cell_angle_gamma 90.00
_symmetry_space_group_name_H-M 'P 1 2/m 1'
_symmetry_Int_Tables_number 10
loop_
_symmetry_equiv_pos_as_xyz
'x,y,z'
'-x,-y,-z'
'-x,y,-z'
'x,-y,z'
loop_
_atom_site_label
_atom_site_type_symbol
_atom_site_fract_x
_atom_site_fract_y
_atom_site_fract_z
_atom_site_occupancy
Rb1 Rb 0.0000 0.0000 0.0000 1
Rb2 Rb 0.5000 0.5000 0.0000 1
Pm1 Pm 0.0000 0.5000 0.5000 1
Pu1 Pu 0.5000 0.0000 0.5000 1
O1 O 0.2287 0.0000 0.6797 1
O2 O 0.2790 0.5000 0.3237 1
```

Properties
DOS at the Fermi energy in states/eV/f.u.: 5.4
Raw total energy in eV per atom: -7.551


[8]
The following is a PBE calculation of crystalline Rb3Pm3PuO8 at its relaxed geometry, from Alexandria via LeMat-Bulk.

```
data_Rb3Pm3PuO8
_cell_length_a 7.1912
_cell_length_b 7.1912
_cell_length_c 19.9990
_cell_angle_alpha 90.00
_cell_angle_beta 90.00
_cell_angle_gamma 120.00
_symmetry_space_group_name_H-M 'R -3 m'
_symmetry_Int_Tables_number 166
_symmetry_space_group_name_Hall '-R 3 2"'
loop_
_atom_site_label
_atom_site_type_symbol
_atom_site_fract_x
_atom_site_fract_y
_atom_site_fract_z
_atom_site_occupancy
Rb1 Rb 0.0000 0.5000 0.0000 1
Pm1 Pm 0.0000 0.5000 0.5000 1
Pu1 Pu 0.0000 0.0000 0.5000 1
O1 O 0.0000 0.0000 0.2249 1
O2 O 0.0186 0.5093 0.2225 1
```

Properties
DOS at the Fermi energy in states/eV/f.u.: 5.1
Raw total energy in eV per atom: -7.434


[9]
The following is a PBE calculation of crystalline RbPmPuO4 at its relaxed geometry, from Alexandria via LeMat-Bulk.

```
data_RbPmPuO4
_cell_length_a 7.1532
_cell_length_b 7.3709
_cell_length_c 10.2440
_cell_angle_alpha 90.00
_cell_angle_beta 90.00
_cell_angle_gamma 90.00
_symmetry_space_group_name_H-M 'I m m a'
_symmetry_Int_Tables_number 74
_symmetry_space_group_name_Hall '-I 2b 2'
loop_
_atom_site_label
_atom_site_type_symbol
_atom_site_fract_x
_atom_site_fract_y
_atom_site_fract_z
_atom_site_occupancy
Rb1 Rb 0.0000 0.2500 0.1254 1
Pm1 Pm 0.0000 0.0000 0.5000 1
Pu1 Pu 0.2500 0.2500 0.7500 1
O1 O 0.0000 0.0594 0.7318 1
O2 O 0.2076 0.2500 0.5345 1
```

Properties
DOS at the Fermi energy in states/eV/f.u.: 5.6
Raw total energy in eV per atom: -8.468


[10]
The following is a PBE calculation of crystalline Rb4PmPu3O12 at its relaxed geometry, from Alexandria via LeMat-Bulk.

```
data_Rb4PmPu3O12
_cell_length_a 8.7034
_cell_length_b 8.7034
_cell_length_c 8.7034
_cell_angle_alpha 90.00
_cell_angle_beta 90.00
_cell_angle_gamma 90.00
_symmetry_space_group_name_H-M 'I m -3 m'
_symmetry_Int_Tables_number 229
_symmetry_space_group_name_Hall '-I 4 2 3'
loop_
_atom_site_label
_atom_site_type_symbol
_atom_site_fract_x
_atom_site_fract_y
_atom_site_fract_z
_atom_site_occupancy
Rb1 Rb 0.2500 0.2500 0.2500 1
Pm1 Pm 0.0000 0.0000 0.0000 1
Pu1 Pu 0.0000 0.0000 0.5000 1
O1 O 0.0000 0.0000 0.2701 1
O2 O 0.0000 0.2500 0.5000 1
```

Properties
DOS at the Fermi energy in states/eV/f.u.: 9.4
Raw total energy in eV per atom: -8.091